# 1
Ho2ThHg | PBE-GGA | optimized geometry

Cell: 4.802 4.850 4.850 Å, 90.00 90.00 90.00°
Sites, in units of the cell vectors:
1 Hg 0.500 0.000 0.000
2 Ho 0.000 0.500 0.000
3 Ho 0.000 0.000 0.500
4 Th 0.500 0.500 0.500

As for the energy above the most stable polymorph in this dataset: 0.1631 eV/atom. The value obtained for the total energy is -4.31 eV/atom. The formation energy comes out at -0.09 eV per atom.

# 2
NpAg2F8 | PBE-GGA | optimized geometry

Cell: 4.005 5.015 8.236 Å, 98.99 104.07 90.00°
Each line ends with the local moment (μB).
Sites, in units of the cell vectors:
1 F 0.624 0.901 0.247  -0.05
2 F 0.427 0.634 0.853  -0.04
3 F 0.222 0.275 0.444  -0.12
4 F 0.573 0.366 0.147  -0.04
5 F 0.029 0.802 0.059  -0.02
6 F 0.778 0.725 0.556  -0.12
7 F 0.971 0.198 0.941  -0.02
8 F 0.376 0.099 0.753  -0.05
9 Np 0.500 0.000 0.000  1.89
10 Ag 0.206 0.747 0.413  -0.24
11 Ag 0.794 0.253 0.587  -0.24

As for the energy above the most stable polymorph in this dataset: 0.0321 eV/atom. The value obtained for the total energy is -5.28 eV/atom. The uncorrected formation energy is -2.2287 eV/atom.

# 3
La2Sm3DySe6 | PBE-GGA | optimized geometry

Cell: 4.188 8.454 9.384 Å, 102.85 102.89 90.00°
Sites, in units of the cell vectors:
1 Sm 0.170 0.835 0.339
2 Sm 0.830 0.165 0.661
3 Sm 0.500 0.500 0.000
4 Se 0.664 0.589 0.329
5 Se 0.663 0.075 0.326
6 Se 0.996 0.242 0.993
7 Se 0.336 0.411 0.671
8 Se 0.004 0.758 0.007
9 Se 0.337 0.925 0.674
10 La 0.166 0.334 0.333
11 La 0.834 0.666 0.667
12 Dy 0.500 0.000 0.000

The value obtained for the total energy is -5.99 eV/atom. The uncorrected formation energy is -1.8639 eV/atom.

# 4
CoBi2Pb | PBE-GGA | optimized geometry

Cell: 6.441 6.441 7.903 Å, 65.95 65.95 90.00°
Each line ends with the local moment (μB).
Sites, in units of the cell vectors:
1 Co 0.500 0.500 0.000  0.60
2 Co 0.250 0.750 0.500  0.58
3 Bi 0.208 0.625 0.250  -0.02
4 Bi 0.875 0.792 0.750  -0.03
5 Bi 0.375 0.458 0.750  -0.03
6 Bi 0.542 0.125 0.250  -0.03
7 Pb 0.750 0.250 0.500  0.02
8 Pb 0.000 0.000 0.000  0.02

The value obtained for the total energy is -4.26 eV/atom. The formation energy comes out at 0.39 eV per atom.

# 5
KCa2Cu | PBE-GGA | optimized geometry

Cell: 6.933 6.933 7.051 Å, 59.46 59.46 32.89°
Sites, in units of the cell vectors:
1 Ca 0.826 0.826 0.623
2 Ca 0.013 0.013 0.938
3 Cu 0.472 0.472 0.683
4 K 0.189 0.189 0.256

As for the energy above the most stable polymorph in this dataset: 0.1226 eV/atom. The value obtained for the total energy is -2.13 eV/atom. The formation energy comes out at 0.17 eV per atom.

# 6
Mn2P | PBE-GGA | optimized geometry

Cell: 4.418 4.418 4.418 Å, 106.32 106.32 115.98°
Each line ends with the local moment (μB).
Sites, in units of the cell vectors:
1 Mn 0.160 0.340 0.500  0.95
2 Mn 0.660 0.160 0.819  0.95
3 Mn 0.340 0.840 0.181  0.95
4 Mn 0.840 0.660 0.500  0.95
5 P 0.250 0.250 0.000  -0.05
6 P 0.750 0.750 0.000  -0.05

The value obtained for the total energy is -8.19 eV/atom. The formation energy comes out at -0.28 eV per atom.